## ThTcBi (PBE-GGA)

Data for crystalline ThTcBi at its relaxed geometry.

Results
The total energy comes out at -19.2 eV per cell. The value obtained for the magnetization is 0.04 μB per formula unit. The excess energy over the best structure of this formula in the dataset comes out at 275 meV per atom.

The structure in extended XYZ format:
```
3
Lattice="0.000 3.556 3.556 3.556 0.000 3.556 3.556 3.556 0.000" Properties=species:S:1:pos:R:3 pbc="T T T"
Bi 3.556 3.556 3.556
Th 1.778 1.778 1.778
Tc 0.000 0.000 0.000
```